## Nd2Tm3Sc8 (PBE-GGA)

Data for Nd2Tm3Sc8 after structural relaxation.

Properties
SG: No. 166
Crystal system: trigonal
Formation enthalpy at 0 K, meV/atom: 270

Geometry as POSCAR:
```
Nd2Tm3Sc8
1.0
-2.107 -5.705 1.222
3.577 -4.938 -1.141
4.733 -2.882 10.447
Sc Tm Nd
8 3 2
direct
0.224 0.729 0.318
0.729 0.729 0.318
0.272 0.272 0.185
0.271 0.271 0.682
0.729 0.224 0.318
0.776 0.271 0.682
0.271 0.776 0.682
0.728 0.728 0.815
0.000 0.000 0.000
0.815 0.815 0.555
0.185 0.185 0.445
0.639 0.639 0.083
0.361 0.361 0.917
```